[1]
# NaNiWAu | OQMD | PBE-GGA | relaxed
# total magnetic moment: 0.0 μB/f.u.
# ΔE to the lowest computed polymorph: 8.3 kJ per mole of atoms
data_NaNiWAu
_cell_length_a 6.214
_cell_length_b 6.214
_cell_length_c 6.214
_cell_angle_alpha 90.00
_cell_angle_beta 90.00
_cell_angle_gamma 90.00
_space_group_name_H-M_alt 'F -4 3 m'
_space_group_IT_number 216
_space_group_name_Hall 'F -4 2 3'
loop_
_atom_site_label
_atom_site_type_symbol
_atom_site_fract_x
_atom_site_fract_y
_atom_site_fract_z
Na1 Na 0.000 0.000 0.000
Ni1 Ni 0.000 0.000 0.500
W1 W 0.250 0.250 0.750
Au1 Au 0.250 0.250 0.250

[2]
# NaNpAuSe3 | OQMD | PBE-GGA | relaxed
# total magnetic moment: 3.0 μB/f.u.
# energy: -5.53 eV/atom
data_NaNpAuSe3
_cell_length_a 4.116
_cell_length_b 13.661
_cell_length_c 10.689
_cell_angle_alpha 90.00
_cell_angle_beta 90.00
_cell_angle_gamma 90.00
_space_group_name_H-M_alt 'C m c m'
_space_group_IT_number 63
_space_group_name_Hall '-C 2c 2'
loop_
_atom_site_label
_atom_site_type_symbol
_atom_site_fract_x
_atom_site_fract_y
_atom_site_fract_z
Na1 Na 0.000 0.238 0.250
Np1 Np 0.000 0.000 0.000
Au1 Au 0.000 0.460 0.750
Se1 Se 0.000 0.085 0.750
Se2 Se 0.000 0.360 0.547

[3]
# Na2Au2O5 | OQMD | PBE-GGA | relaxed
# ΔE to the lowest computed polymorph: 36.8 kJ per mole of atoms
data_Na2Au2O5
_cell_length_a 4.186
_cell_length_b 4.186
_cell_length_c 7.968
_cell_angle_alpha 90.00
_cell_angle_beta 90.00
_cell_angle_gamma 90.00
_space_group_name_H-M_alt 'P 4/m m m'
_space_group_IT_number 123
_space_group_name_Hall '-P 4 2'
loop_
_atom_site_label
_atom_site_type_symbol
_atom_site_fract_x
_atom_site_fract_y
_atom_site_fract_z
Na1 Na 0.000 0.000 0.231
Au1 Au 0.500 0.500 0.000
Au2 Au 0.500 0.500 0.500
O1 O 0.000 0.000 0.500
O2 O 0.000 0.500 0.093

[4]
# NaAuO3 | OQMD | PBE-GGA | relaxed
# energy: -4.32 eV/atom
data_NaAuO3
_cell_length_a 5.3602
_cell_length_b 5.3602
_cell_length_c 15.4036
_cell_angle_alpha 90.00
_cell_angle_beta 90.00
_cell_angle_gamma 120.00
_space_group_name_H-M_alt 'R -3'
_space_group_IT_number 148
_space_group_name_Hall '-R 3'
loop_
_atom_site_label
_atom_site_type_symbol
_atom_site_fract_x
_atom_site_fract_y
_atom_site_fract_z
Na1 Na 0.0000 0.0000 0.1405
Au1 Au 0.0000 0.0000 0.3373
O1 O 0.0103 0.6381 0.9276